DFT (PBE) results for an optimized crystal structure of Rb2HAu.

Cell lengths 4.710, 4.669, 12.451 Å; angles 100.81, 90.00, 90.00 degrees
Element x y z (fractional)
Rb: 0.750 0.690 0.381
Rb: 0.250 0.310 0.619
Rb: 0.750 0.925 0.850
Rb: 0.250 0.075 0.150
H: 0.250 0.193 0.386
H: 0.750 0.807 0.614
Au: 0.250 0.463 0.926
Au: 0.750 0.537 0.074

Space group ... No. 63
DFT total energy ... -2.3497 eV/atom
Energy above the most stable polymorph in this dataset ... 0.0000 eV/atom
Volume ... 33.62 A^3/atom